1.
An optimized crystal structure of Tb8Ho6Tl. Source: Alexandria via LeMat-Bulk, functional PBE-GGA.

The structure in POSCAR format:
```
Tb8Ho6Tl
1.0
6.723 0.000 0.000
0.000 7.909 -4.566
0.000 0.000 9.133
Ho Tb Tl
6 8 1
Direct
0.608 0.398 0.320
0.392 0.078 0.398
0.392 0.602 0.680
0.608 0.922 0.602
0.608 0.680 0.078
0.392 0.320 0.922
0.882 0.690 0.680
0.882 0.990 0.310
0.820 0.333 0.667
0.180 0.667 0.333
0.118 0.010 0.690
0.882 0.320 0.010
0.118 0.310 0.320
0.118 0.680 0.990
0.500 0.000 0.000
```

## Properties
formation enthalpy at 0 K: 0.20 eV/atom
E: -63.880 eV/cell
total magnetization: 0.00 μB/f.u.
crystal system: trigonal
SG: P-3 (147)
ρ: 8.430 Mg/m³

=====

2.
An optimized crystal structure of PmTm3Ge3. Source: Alexandria via LeMat-Bulk, functional PBE-GGA.

The structure in POSCAR format:
```
PmTm3Ge3
1.0
5.504 0.000 0.000
0.000 8.871 0.000
0.000 -4.436 7.683
Ge Tm Pm
6 6 2
Direct
0.250 0.621 0.648
0.750 0.379 0.352
0.750 0.973 0.621
0.250 0.027 0.379
0.750 0.648 0.027
0.250 0.352 0.973
0.750 0.987 0.289
0.250 0.013 0.711
0.250 0.289 0.302
0.250 0.698 0.987
0.750 0.711 0.698
0.750 0.302 0.013
0.250 0.667 0.333
0.750 0.333 0.667
```

## Properties
formation enthalpy at 0 K: -0.56 eV/atom
E: -71.807 eV/cell
total magnetization: 0.00 μB/f.u.
crystal system: hexagonal
SG: P6_3/m (176)
ρ: 7.699 Mg/m³

=====

3.
An optimized crystal structure of MgSiAu2. Source: Alexandria via LeMat-Bulk, functional PBE-GGA.

The structure in POSCAR format:
```
MgSiAu2
1.0
-2.184 -0.392 -2.835
2.579 -1.815 -1.736
-1.899 -4.723 2.115
Si Mg Au
1 1 2
Direct
0.500 0.500 0.798
0.000 0.000 0.473
0.500 0.500 0.278
0.000 0.000 0.951
```

## Properties
E: -14.328 eV/cell
E_form (uncorrected): -0.189 eV per atom
total magnetization: 0.00 μB/f.u.
crystal system: tetragonal
SG: P4mm (99)
ρ: 10.376 Mg/m³

=====

4.
An optimized crystal structure of VNi8Ir2. Source: Alexandria via LeMat-Bulk, functional PBE-GGA.

The structure in POSCAR format:
```
VNi8Ir2
1.0
-1.059 3.442 -0.289
-0.615 -0.665 -5.665
-5.183 -3.259 2.763
Ir Ni V
2 8 1
Direct
0.776 0.362 0.552
0.224 0.638 0.448
0.588 0.445 0.176
0.045 0.731 0.091
0.680 0.914 0.360
0.869 0.822 0.738
0.320 0.086 0.640
0.412 0.555 0.824
0.955 0.269 0.909
0.131 0.178 0.262
0.500 0.000 0.000
```

## Properties
formation enthalpy at 0 K: -0.09 eV/atom
E: -74.044 eV/cell
total magnetization: 0.00 μB/f.u.
crystal system: monoclinic
SG: C2/m (12)
ρ: 11.664 Mg/m³

=====

5.
An optimized crystal structure of Zr2Al9Rh3. Source: Alexandria via LeMat-Bulk, functional PBE-GGA.

The structure in POSCAR format:
```
Zr2Al9Rh3
1.0
6.886 -0.029 -2.902
-4.047 6.281 0.000
0.236 0.190 10.215
Al Zr Rh
18 4 6
Direct
0.130 0.981 0.940
0.452 0.918 0.748
0.785 0.478 0.424
0.114 0.864 0.250
0.115 0.141 0.426
0.541 0.189 0.560
0.870 0.019 0.060
0.459 0.811 0.440
0.548 0.082 0.252
0.215 0.522 0.576
0.784 0.311 0.926
0.885 0.859 0.574
0.216 0.689 0.074
0.886 0.136 0.750
0.670 0.704 0.752
0.554 0.361 0.076
0.446 0.639 0.924
0.330 0.296 0.248
0.336 0.247 0.750
0.997 0.586 0.750
0.664 0.753 0.250
0.003 0.414 0.250
0.173 0.345 0.000
0.155 0.827 0.500
0.500 0.000 0.000
0.500 0.500 0.500
0.845 0.173 0.500
0.827 0.655 0.000
```

## Properties
formation enthalpy at 0 K: -0.80 eV/atom
E: -168.194 eV/cell
total magnetization: 0.00 μB/f.u.
crystal system: monoclinic
SG: C2/c (15)
ρ: 5.452 Mg/m³

=====

6.
An optimized crystal structure of Cs2TlAu4. Source: Alexandria via LeMat-Bulk, functional PBE-GGA.

The structure in POSCAR format:
```
Cs2TlAu4
1.0
-4.699 1.330 -2.416
-0.190 -4.918 -2.337
-7.146 -5.094 4.950
Au Cs Tl
4 2 1
Direct
0.155 0.155 0.690
0.500 0.000 0.000
0.845 0.845 0.310
0.000 0.500 0.000
0.353 0.353 0.293
0.647 0.647 0.707
0.000 0.000 0.000
```

## Properties
formation enthalpy at 0 K: -0.04 eV/atom
E: -17.441 eV/cell
total magnetization: 0.00 μB/f.u.
crystal system: tetragonal
SG: I4/mmm (139)
ρ: 7.559 Mg/m³

=====

7.
An optimized crystal structure of Li3CdSb. Source: Alexandria via LeMat-Bulk, functional PBE-GGA.

The structure in POSCAR format:
```
Li3CdSb
1.0
5.269 0.000 0.000
0.000 5.269 0.000
0.000 0.000 5.269
Li Cd Sb
3 1 1
Direct
0.000 0.500 0.000
0.500 0.000 0.000
0.000 0.000 0.500
0.500 0.500 0.500
0.000 0.000 0.000
```

## Properties
E: -11.991 eV/cell
E_form (uncorrected): -0.242 eV per atom
total magnetization: 0.00 μB/f.u.
crystal system: cubic
relative energy among the computed polymorphs: 122.5 meV/atom
SG: Pm-3m (221)
ρ: 2.895 Mg/m³

=====

8.
An optimized crystal structure of LaPm4Y2. Source: Alexandria via LeMat-Bulk, functional PBE-GGA.

The structure in POSCAR format:
```
LaPm4Y2
1.0
12.166 -3.110 -1.568
-9.521 8.188 -1.568
0.016 0.030 6.865
Y Pm La
4 8 2
Direct
0.617 0.300 0.441
0.300 0.617 0.941
0.926 0.109 0.060
0.109 0.926 0.560
0.786 0.181 0.400
0.136 0.031 0.100
0.185 0.719 0.376
0.593 0.558 0.624
0.031 0.136 0.600
0.558 0.593 0.124
0.181 0.786 0.900
0.719 0.185 0.876
0.685 0.435 0.000
0.435 0.685 0.500
```

## Properties
formation enthalpy at 0 K: 0.06 eV/atom
E: -72.913 eV/cell
total magnetization: 0.00 μB/f.u.
crystal system: orthorhombic
relative energy among the computed polymorphs: 0.0 meV/atom
SG: Fdd2 (43)
ρ: 6.179 Mg/m³

=====

9.
An optimized crystal structure of ScIr. Source: Alexandria via LeMat-Bulk, functional PBE-GGA.

The structure in POSCAR format:
```
ScIr
1.0
2.288 -3.963 0.000
2.288 3.963 0.000
0.000 0.000 7.813
Ir Sc
4 4
Direct
0.667 0.333 0.581
0.333 0.667 0.081
0.333 0.667 0.419
0.667 0.333 0.919
0.667 0.333 0.250
0.000 0.000 0.250
0.333 0.667 0.750
0.000 0.000 0.750
```

## Properties
formation enthalpy at 0 K: -0.16 eV/atom
E: -62.075 eV/cell
total magnetization: 0.00 μB/f.u.
crystal system: hexagonal
SG: P6_3/mmc (194)
ρ: 11.121 Mg/m³

=====

10.
An optimized crystal structure of TbNd2Er5. Source: Alexandria via LeMat-Bulk, functional PBE-GGA.

The structure in POSCAR format:
```
TbNd2Er5
1.0
-1.545 0.692 -4.731
1.391 -6.821 -1.452
-13.247 -3.512 3.812
Er Nd Tb
10 4 2
Direct
0.500 0.752 0.625
0.000 0.500 0.500
0.000 0.002 0.750
0.000 0.502 0.750
0.000 0.998 0.250
0.000 0.000 0.000
0.000 0.498 0.250
0.500 0.252 0.875
0.500 0.248 0.375
0.500 0.748 0.125
0.500 0.748 0.375
0.500 0.252 0.625
0.500 0.248 0.125
0.500 0.752 0.875
0.000 0.500 0.000
0.000 0.000 0.500
```

## Properties
formation enthalpy at 0 K: 0.02 eV/atom
E: -73.609 eV/cell
total magnetization: 0.00 μB/f.u.
crystal system: orthorhombic
relative energy among the computed polymorphs: 0.0 meV/atom
SG: Pbam (55)
ρ: 8.387 Mg/m³

=====

11.
An optimized crystal structure of CeTiTlCd. Source: Alexandria via LeMat-Bulk, functional PBE-GGA.

The structure in POSCAR format:
```
CeTiTlCd
1.0
5.181 0.000 0.000
2.591 4.487 0.000
2.591 1.496 4.230
Cd Ce Ti Tl
1 1 1 1
Direct
0.750 0.750 0.750
0.500 0.500 0.500
0.000 0.000 0.000
0.250 0.250 0.250
```

## Properties
formation enthalpy at 0 K: 0.00 eV/atom
E: -17.117 eV/cell
total magnetization: 3.04 μB/f.u.
crystal system: cubic
SG: F-43m (216)
ρ: 8.523 Mg/m³

=====

12.
An optimized crystal structure of Th2Ru2Pt. Source: Alexandria via LeMat-Bulk, functional PBE-GGA.

The structure in POSCAR format:
```
Th2Ru2Pt
1.0
-3.071 -2.447 -2.457
-3.481 -2.986 2.959
-5.156 1.759 0.326
Pt Th Ru
1 2 2
Direct
0.000 0.000 0.000
0.209 0.291 0.291
0.791 0.709 0.709
0.500 0.254 0.746
0.500 0.746 0.254
```

## Properties
formation enthalpy at 0 K: -0.64 eV/atom
E: -42.648 eV/cell
total magnetization: 0.00 μB/f.u.
crystal system: orthorhombic
SG: Immm (71)
ρ: 13.441 Mg/m³